Record 1
Entry from Alexandria via LeMat-Bulk: a geometry-optimized CaHoGaPt structure (GGA-PBE).

formation energy from the elements: -0.83 eV per atom
E_tot: -37.9 eV per cell
relative energy among the computed polymorphs: 0.000 eV/atom
total magnetization: 0.000 μB/cell

The structure in CIF format:
```
data_CaHoGaPt
_chemical_formula_sum 'Ca2 Ho2 Ga2 Pt2'
_space_group_name_H-M_alt 'A m m 2'
_space_group_IT_number 38
_space_group_name_Hall 'A 2 -2'
_cell_length_a 4.1501
_cell_length_b 3.9724
_cell_length_c 11.4538
_cell_angle_alpha 90.00
_cell_angle_beta 90.00
_cell_angle_gamma 90.00
loop_
_atom_site_label
_atom_site_fract_x
_atom_site_fract_y
_atom_site_fract_z
Ca1 0.0000 0.0000 0.0000
Ho1 0.5000 0.0000 0.7081
Ga1 0.5000 0.0000 0.4165
Pt1 0.0000 0.0000 0.2696
```

=====

Record 2
Entry from Alexandria via LeMat-Bulk: a geometry-optimized Ca2HoGa3Pt4 structure (GGA-PBE).

formation energy from the elements: -0.92 eV per atom
E_tot: -51.0 eV per cell
total magnetization: 0.000 μB/cell

The structure in CIF format:
```
data_Ca2HoGa3Pt4
_chemical_formula_sum 'Ca2 Ho1 Ga3 Pt4'
_space_group_name_H-M_alt 'P -4 m 2'
_space_group_IT_number 115
_space_group_name_Hall 'P -4 -2'
_cell_length_a 4.2130
_cell_length_b 4.2130
_cell_length_c 11.5131
_cell_angle_alpha 90.00
_cell_angle_beta 90.00
_cell_angle_gamma 90.00
loop_
_atom_site_label
_atom_site_fract_x
_atom_site_fract_y
_atom_site_fract_z
Ca1 0.0000 0.5000 0.2301
Ho1 0.0000 0.0000 0.5000
Ga1 0.0000 0.5000 0.8729
Ga2 0.5000 0.5000 0.5000
Pt1 0.0000 0.0000 0.0000
Pt2 0.0000 0.5000 0.6556
Pt3 0.5000 0.5000 0.0000
```

=====

Record 3
Entry from Alexandria via LeMat-Bulk: a geometry-optimized CaHoGaS4 structure (GGA-PBE).

E_tot: -146.9 eV per cell
total magnetization: 0.000 μB/cell
E_form (uncorrected): -1.517 eV per atom

The structure in CIF format:
```
data_CaHoGaS4
_chemical_formula_sum 'Ca4 Ho4 Ga4 S16'
_space_group_name_H-M_alt 'I m m a'
_space_group_IT_number 74
_space_group_name_Hall '-I 2b 2'
_cell_length_a 7.6606
_cell_length_b 7.8644
_cell_length_c 10.9918
_cell_angle_alpha 90.00
_cell_angle_beta 90.00
_cell_angle_gamma 90.00
loop_
_atom_site_label
_atom_site_fract_x
_atom_site_fract_y
_atom_site_fract_z
Ca1 0.2500 0.2500 0.2500
Ho1 0.0000 0.0000 0.0000
Ga1 0.0000 0.2500 0.6342
S1 0.0000 0.0072 0.7527
S2 0.2504 0.2500 0.5051
```

=====

Record 4
Entry from Alexandria via LeMat-Bulk: a geometry-optimized CaHoGaSi structure (GGA-PBE).

E_tot: -34.9 eV per cell
total magnetization: 0.000 μB/cell
E_form (uncorrected): -0.599 eV per atom

The structure in CIF format:
```
data_CaHoGaSi
_chemical_formula_sum 'Ca2 Ho2 Ga2 Si2'
_space_group_name_H-M_alt 'A m m 2'
_space_group_IT_number 38
_space_group_name_Hall 'A 2 -2'
_cell_length_a 3.9922
_cell_length_b 4.3636
_cell_length_c 10.8288
_cell_angle_alpha 90.00
_cell_angle_beta 90.00
_cell_angle_gamma 90.00
loop_
_atom_site_label
_atom_site_fract_x
_atom_site_fract_y
_atom_site_fract_z
Ca1 0.0000 0.0000 0.0000
Ho1 0.5000 0.0000 0.2793
Ga1 0.5000 0.0000 0.5708
Si1 0.0000 0.0000 0.7185
```

=====

Record 5
Entry from Alexandria via LeMat-Bulk: a geometry-optimized CaHoGaSn structure (GGA-PBE).

formation energy from the elements: -0.51 eV per atom
E_tot: -62.6 eV per cell
total magnetization: 0.000 μB/cell

The structure in CIF format:
```
data_CaHoGaSn
_chemical_formula_sum 'Ca4 Ho4 Ga4 Sn4'
_space_group_name_H-M_alt 'F -4 3 m'
_space_group_IT_number 216
_space_group_name_Hall 'F -4 2 3'
_cell_length_a 7.4265
_cell_length_b 7.4265
_cell_length_c 7.4265
_cell_angle_alpha 90.00
_cell_angle_beta 90.00
_cell_angle_gamma 90.00
loop_
_atom_site_label
_atom_site_fract_x
_atom_site_fract_y
_atom_site_fract_z
Ca1 0.0000 0.0000 0.0000
Ho1 0.0000 0.0000 0.5000
Ga1 0.2500 0.2500 0.2500
Sn1 0.2500 0.2500 0.7500
```

=====

Record 6
Entry from Alexandria via LeMat-Bulk: a geometry-optimized CaHoTlGa structure (GGA-PBE).

formation energy from the elements: -0.40 eV per atom
E_tot: -54.3 eV per cell
relative energy among the computed polymorphs: 0.050 eV/atom
total magnetization: 0.000 μB/cell

The structure in CIF format:
```
data_CaHoTlGa
_chemical_formula_sum 'Ca4 Ho4 Tl4 Ga4'
_space_group_name_H-M_alt 'F -4 3 m'
_space_group_IT_number 216
_space_group_name_Hall 'F -4 2 3'
_cell_length_a 7.4580
_cell_length_b 7.4580
_cell_length_c 7.4580
_cell_angle_alpha 90.00
_cell_angle_beta 90.00
_cell_angle_gamma 90.00
loop_
_atom_site_label
_atom_site_fract_x
_atom_site_fract_y
_atom_site_fract_z
Ca1 0.0000 0.0000 0.0000
Ho1 0.0000 0.0000 0.5000
Tl1 0.2500 0.2500 0.2500
Ga1 0.2500 0.2500 0.7500
```

=====

Record 7
Entry from Alexandria via LeMat-Bulk: a geometry-optimized CaHoTlGa structure (GGA-PBE).

formation energy from the elements: -0.45 eV per atom
E_tot: -13.8 eV per cell
relative energy among the computed polymorphs: 0.000 eV/atom
total magnetization: 0.000 μB/cell

The structure in CIF format:
```
data_CaHoTlGa
_chemical_formula_sum 'Ca1 Ho1 Tl1 Ga1'
_space_group_name_H-M_alt 'P 4 m m'
_space_group_IT_number 99
_space_group_name_Hall 'P 4 -2'
_cell_length_a 3.7089
_cell_length_b 3.7089
_cell_length_c 7.5156
_cell_angle_alpha 90.00
_cell_angle_beta 90.00
_cell_angle_gamma 90.00
loop_
_atom_site_label
_atom_site_fract_x
_atom_site_fract_y
_atom_site_fract_z
Ca1 0.0000 0.0000 0.0000
Ho1 0.0000 0.0000 0.5338
Tl1 0.5000 0.5000 0.2715
Ga1 0.5000 0.5000 0.7539
```

=====

Record 8
Entry from Alexandria via LeMat-Bulk: a geometry-optimized CaHoZn2Ga2 structure (GGA-PBE).

formation energy from the elements: -0.50 eV per atom
E_tot: -18.2 eV per cell
total magnetization: 0.000 μB/cell

The structure in CIF format:
```
data_CaHoZn2Ga2
_chemical_formula_sum 'Ca1 Ho1 Zn2 Ga2'
_space_group_name_H-M_alt 'P -3 m 1'
_space_group_IT_number 164
_space_group_name_Hall '-P 3 2"'
_cell_length_a 4.4640
_cell_length_b 4.4640
_cell_length_c 7.3135
_cell_angle_alpha 90.00
_cell_angle_beta 90.00
_cell_angle_gamma 120.00
loop_
_atom_site_label
_atom_site_fract_x
_atom_site_fract_y
_atom_site_fract_z
Ca1 0.0000 0.0000 0.0000
Ho1 0.0000 0.0000 0.5000
Zn1 0.3333 0.6667 0.7211
Ga1 0.3333 0.6667 0.2794
```

=====

Record 9
Entry from Alexandria via LeMat-Bulk: a geometry-optimized CaHoZnGa structure (GGA-PBE).

formation energy from the elements: -0.42 eV per atom
E_tot: -50.2 eV per cell
total magnetization: 0.000 μB/cell

The structure in CIF format:
```
data_CaHoZnGa
_chemical_formula_sum 'Ca4 Ho4 Zn4 Ga4'
_space_group_name_H-M_alt 'F -4 3 m'
_space_group_IT_number 216
_space_group_name_Hall 'F -4 2 3'
_cell_length_a 7.2036
_cell_length_b 7.2036
_cell_length_c 7.2036
_cell_angle_alpha 90.00
_cell_angle_beta 90.00
_cell_angle_gamma 90.00
loop_
_atom_site_label
_atom_site_fract_x
_atom_site_fract_y
_atom_site_fract_z
Ca1 0.0000 0.0000 0.0000
Ho1 0.0000 0.0000 0.5000
Zn1 0.2500 0.2500 0.7500
Ga1 0.2500 0.2500 0.2500
```

=====

Record 10
Entry from Alexandria via LeMat-Bulk: a geometry-optimized CaGaI2 structure (GGA-PBE).

E_tot: -43.3 eV per cell
relative energy among the computed polymorphs: 0.005 eV/atom
total magnetization: 0.000 μB/cell
E_form (uncorrected): -0.673 eV per atom

The structure in CIF format:
```
data_CaGaI2
_chemical_formula_sum 'Ca4 Ga4 I8'
_space_group_name_H-M_alt 'F m -3 m'
_space_group_IT_number 225
_space_group_name_Hall '-F 4 2 3'
_cell_length_a 7.9785
_cell_length_b 7.9785
_cell_length_c 7.9785
_cell_angle_alpha 90.00
_cell_angle_beta 90.00
_cell_angle_gamma 90.00
loop_
_atom_site_label
_atom_site_fract_x
_atom_site_fract_y
_atom_site_fract_z
Ca1 0.0000 0.0000 0.0000
Ga1 0.0000 0.0000 0.5000
I1 0.2500 0.2500 0.2500
```

=====

Record 11
Entry from Alexandria via LeMat-Bulk: a geometry-optimized Ca2GaI structure (GGA-PBE).

E_tot: -11.4 eV per cell
relative energy among the computed polymorphs: 0.064 eV/atom
total magnetization: 0.000 μB/cell
E_form (uncorrected): -0.695 eV per atom

The structure in CIF format:
```
data_Ca2GaI
_chemical_formula_sum 'Ca2 Ga1 I1'
_space_group_name_H-M_alt 'P 4/m m m'
_space_group_IT_number 123
_space_group_name_Hall '-P 4 2'
_cell_length_a 3.7609
_cell_length_b 3.7609
_cell_length_c 8.4603
_cell_angle_alpha 90.00
_cell_angle_beta 90.00
_cell_angle_gamma 90.00
loop_
_atom_site_label
_atom_site_fract_x
_atom_site_fract_y
_atom_site_fract_z
Ca1 0.0000 0.0000 0.2144
Ga1 0.5000 0.5000 0.0000
I1 0.5000 0.5000 0.5000
```

=====

Record 12
Entry from Alexandria via LeMat-Bulk: a geometry-optimized CaGaI3 structure (GGA-PBE).

E_tot: -12.4 eV per cell
relative energy among the computed polymorphs: 0.537 eV/atom
total magnetization: 0.000 μB/cell
E_form (uncorrected): -0.554 eV per atom

The structure in CIF format:
```
data_CaGaI3
_chemical_formula_sum 'Ca1 Ga1 I3'
_space_group_name_H-M_alt 'P m -3 m'
_space_group_IT_number 221
_space_group_name_Hall '-P 4 2 3'
_cell_length_a 5.8041
_cell_length_b 5.8041
_cell_length_c 5.8041
_cell_angle_alpha 90.00
_cell_angle_beta 90.00
_cell_angle_gamma 90.00
loop_
_atom_site_label
_atom_site_fract_x
_atom_site_fract_y
_atom_site_fract_z
Ca1 0.0000 0.0000 0.0000
Ga1 0.5000 0.5000 0.5000
I1 0.0000 0.5000 0.5000
```

=====

Record 13
Entry from Alexandria via LeMat-Bulk: a geometry-optimized Ca3GaI structure (GGA-PBE).

E_tot: -12.8 eV per cell
relative energy among the computed polymorphs: 0.000 eV/atom
total magnetization: 0.000 μB/cell
E_form (uncorrected): -0.453 eV per atom

The structure in CIF format:
```
data_Ca3GaI
_chemical_formula_sum 'Ca3 Ga1 I1'
_space_group_name_H-M_alt 'P m -3 m'
_space_group_IT_number 221
_space_group_name_Hall '-P 4 2 3'
_cell_length_a 5.7962
_cell_length_b 5.7962
_cell_length_c 5.7962
_cell_angle_alpha 90.00
_cell_angle_beta 90.00
_cell_angle_gamma 90.00
loop_
_atom_site_label
_atom_site_fract_x
_atom_site_fract_y
_atom_site_fract_z
Ca1 0.0000 0.0000 0.5000
Ga1 0.0000 0.0000 0.0000
I1 0.5000 0.5000 0.5000
```

=====

Record 14
Entry from Alexandria via LeMat-Bulk: a geometry-optimized Ca2Ga2I structure (GGA-PBE).

E_tot: -28.4 eV per cell
total magnetization: 0.000 μB/cell
E_form (uncorrected): -0.520 eV per atom

The structure in CIF format:
```
data_Ca2Ga2I
_chemical_formula_sum 'Ca4 Ga4 I2'
_space_group_name_H-M_alt 'I 4/m m m'
_space_group_IT_number 139
_space_group_name_Hall '-I 4 2'
_cell_length_a 3.9942
_cell_length_b 3.9942
_cell_length_c 18.0080
_cell_angle_alpha 90.00
_cell_angle_beta 90.00
_cell_angle_gamma 90.00
loop_
_atom_site_label
_atom_site_fract_x
_atom_site_fract_y
_atom_site_fract_z
Ca1 0.0000 0.0000 0.1189
Ga1 0.0000 0.5000 0.2500
I1 0.0000 0.0000 0.5000
```

=====

Record 15
Entry from Alexandria via LeMat-Bulk: a geometry-optimized CaGaI2 structure (GGA-PBE).

E_tot: -43.4 eV per cell
relative energy among the computed polymorphs: 0.000 eV/atom
total magnetization: 3.999 μB/cell
E_form (uncorrected): -0.679 eV per atom

The structure in CIF format:
```
data_CaGaI2
_chemical_formula_sum 'Ca4 Ga4 I8'
_space_group_name_H-M_alt 'I -4 2 d'
_space_group_IT_number 122
_space_group_name_Hall 'I -4 2bw'
_cell_length_a 8.8380
_cell_length_b 8.8380
_cell_length_c 7.8397
_cell_angle_alpha 90.00
_cell_angle_beta 90.00
_cell_angle_gamma 90.00
loop_
_atom_site_label
_atom_site_fract_x
_atom_site_fract_y
_atom_site_fract_z
Ca1 0.0000 0.0000 0.0000
Ga1 0.0000 0.0000 0.5000
I1 0.2214 0.7500 0.1250
```

=====

Record 16
Entry from Alexandria via LeMat-Bulk: a geometry-optimized CaGaI3 structure (GGA-PBE).

E_tot: -14.2 eV per cell
relative energy among the computed polymorphs: 0.191 eV/atom
total magnetization: 0.000 μB/cell
E_form (uncorrected): -0.900 eV per atom

The structure in CIF format:
```
data_CaGaI3
_chemical_formula_sum 'Ca1 Ga1 I3'
_space_group_name_H-M_alt 'P m -3 m'
_space_group_IT_number 221
_space_group_name_Hall '-P 4 2 3'
_cell_length_a 6.1139
_cell_length_b 6.1139
_cell_length_c 6.1139
_cell_angle_alpha 90.00
_cell_angle_beta 90.00
_cell_angle_gamma 90.00
loop_
_atom_site_label
_atom_site_fract_x
_atom_site_fract_y
_atom_site_fract_z
Ca1 0.0000 0.0000 0.0000
Ga1 0.5000 0.5000 0.5000
I1 0.0000 0.0000 0.5000
```

=====

Record 17
Entry from Alexandria via LeMat-Bulk: a geometry-optimized Ca2Ga2I structure (GGA-PBE).

E_tot: -28.4 eV per cell
total magnetization: 0.000 μB/cell
E_form (uncorrected): -0.519 eV per atom

The structure in CIF format:
```
data_Ca2Ga2I
_chemical_formula_sum 'Ca4 Ga4 I2'
_space_group_name_H-M_alt 'P 4/m b m'
_space_group_IT_number 127
_space_group_name_Hall '-P 4 2ab'
_cell_length_a 8.7324
_cell_length_b 8.7324
_cell_length_c 3.9729
_cell_angle_alpha 90.00
_cell_angle_beta 90.00
_cell_angle_gamma 90.00
loop_
_atom_site_label
_atom_site_fract_x
_atom_site_fract_y
_atom_site_fract_z
Ca1 0.1919 0.3081 0.0000
Ga1 0.0988 0.5988 0.5000
I1 0.0000 0.0000 0.0000
```

=====

Record 18
Entry from Alexandria via LeMat-Bulk: a geometry-optimized CaGa2I6 structure (GGA-PBE).

E_tot: -98.4 eV per cell
relative energy among the computed polymorphs: 0.051 eV/atom
total magnetization: 0.000 μB/cell
E_form (uncorrected): -0.806 eV per atom

The structure in CIF format:
```
data_CaGa2I6
_chemical_formula_sum 'Ca4 Ga8 I24'
_space_group_name_H-M_alt 'C 1 2/c 1'
_space_group_IT_number 15
_space_group_name_Hall '-C 2yc'
_cell_length_a 16.5574
_cell_length_b 13.0590
_cell_length_c 7.5874
_cell_angle_alpha 90.00
_cell_angle_beta 99.82
_cell_angle_gamma 90.00
loop_
_atom_site_label
_atom_site_fract_x
_atom_site_fract_y
_atom_site_fract_z
Ca1 0.0000 0.0713 0.2500
Ga1 0.0748 0.4218 0.2559
I1 0.1149 0.0822 0.6139
I2 0.1230 0.2549 0.1255
I3 0.1502 0.4254 0.6066
```

=====

Record 19
Entry from Alexandria via LeMat-Bulk: a geometry-optimized CaGaI3 structure (GGA-PBE).

E_tot: -29.5 eV per cell
relative energy among the computed polymorphs: 0.077 eV/atom
total magnetization: 0.000 μB/cell
E_form (uncorrected): -1.014 eV per atom

The structure in CIF format:
```
data_CaGaI3
_chemical_formula_sum 'Ca2 Ga2 I6'
_space_group_name_H-M_alt 'P 1 21/m 1'
_space_group_IT_number 11
_space_group_name_Hall '-P 2yb'
_cell_length_a 8.4512
_cell_length_b 5.0373
_cell_length_c 12.0858
_cell_angle_alpha 90.00
_cell_angle_beta 104.11
_cell_angle_gamma 90.00
loop_
_atom_site_label
_atom_site_fract_x
_atom_site_fract_y
_atom_site_fract_z
Ca1 0.0333 0.2500 0.1731
Ga1 0.4631 0.2500 0.6617
I1 0.1900 0.7500 0.0881
I2 0.2677 0.7500 0.7411
I3 0.2977 0.2500 0.3943
```

=====

Record 20
Entry from Alexandria via LeMat-Bulk: a geometry-optimized Ca2GaI structure (GGA-PBE).

E_tot: -41.4 eV per cell
relative energy among the computed polymorphs: 0.317 eV/atom
total magnetization: 0.000 μB/cell
E_form (uncorrected): -0.442 eV per atom

The structure in CIF format:
```
data_Ca2GaI
_chemical_formula_sum 'Ca8 Ga4 I4'
_space_group_name_H-M_alt 'F m -3 m'
_space_group_IT_number 225
_space_group_name_Hall '-F 4 2 3'
_cell_length_a 7.7746
_cell_length_b 7.7746
_cell_length_c 7.7746
_cell_angle_alpha 90.00
_cell_angle_beta 90.00
_cell_angle_gamma 90.00
loop_
_atom_site_label
_atom_site_fract_x
_atom_site_fract_y
_atom_site_fract_z
Ca1 0.2500 0.2500 0.2500
Ga1 0.0000 0.0000 0.0000
I1 0.0000 0.0000 0.5000
```